Material: BaZnOs2Au
Method: DFT, PBE-GGA
State: optimized geometry

Results
The uncorrected energy is -4.28 eV per atom. As for the formation energy: 1.511 eV/atom. Its size of the total moment is 2.47 μB/cell.

Unit cell a=4.6758 b=4.6758 c=5.7103 alpha=90.00 beta=90.00 gamma=90.00
Space group P4/mmm (No. 123)
Unique sites:
Ba 0.0000 0.0000 0.0000 (multiplicity 1)
Zn 0.0000 0.0000 0.5000 (multiplicity 1)
Os 0.0000 0.5000 0.5000 (multiplicity 2)
Au 0.5000 0.5000 0.0000 (multiplicity 1)



Material: TbCeTmTl
Method: DFT, PBE-GGA
State: optimized geometry

Results
The uncorrected energy is -4.32 eV per atom. As for the formation energy: 0.032 eV/atom. Its size of the total moment is 1.60 μB/cell.

Unit cell a=7.6194 b=7.6194 c=7.6194 alpha=90.00 beta=90.00 gamma=90.00
Space group F-43m (No. 216)
Unique sites:
Tb 0.0000 0.0000 0.0000 (multiplicity 4)
Ce 0.2500 0.2500 0.7500 (multiplicity 4)
Tm 0.0000 0.0000 0.5000 (multiplicity 4)
Tl 0.2500 0.2500 0.2500 (multiplicity 4)



Material: Ac3CuNi3
Method: DFT, PBE-GGA
State: optimized geometry

Results
The uncorrected energy is -4.88 eV per atom. As for the formation energy: -0.061 eV/atom. Its size of the total moment is 0.00 μB/cell.

Unit cell a=8.6763 b=8.6763 c=5.8348 alpha=90.00 beta=90.00 gamma=120.00
Space group P6_3/m (No. 176)
Unique sites:
Ac 0.0667 0.7023 0.2500 (multiplicity 6)
Cu 0.3333 0.6667 0.7500 (multiplicity 2)
Ni 0.0699 0.6869 0.7500 (multiplicity 6)



Material: KScBi2
Method: DFT, PBE-GGA
State: optimized geometry

Results
The uncorrected energy is -4.24 eV per atom. As for the formation energy: -0.442 eV/atom. Its size of the total moment is 0.00 μB/cell.

Unit cell a=3.6035 b=3.6035 c=9.4583 alpha=90.00 beta=90.00 gamma=90.00
Space group P4/mmm (No. 123)
Unique sites:
K 0.0000 0.0000 0.0000 (multiplicity 1)
Sc 0.0000 0.0000 0.5000 (multiplicity 1)
Bi 0.5000 0.5000 0.2897 (multiplicity 2)



Material: TiCrTe4
Method: DFT, PBE-GGA
State: optimized geometry

Results
The uncorrected energy is -5.45 eV per atom. Its size of the total moment is 5.10 μB/cell.

Unit cell a=14.9468 b=3.7931 c=6.4000 alpha=90.00 beta=114.59 gamma=90.00
Space group C2/m (No. 12)
Unique sites:
Ti 0.0000 0.0000 0.0000 (multiplicity 2)
Cr 0.0000 0.5000 0.5000 (multiplicity 2)
Te 0.1230 0.0000 0.4622 (multiplicity 4)
Te 0.1260 0.5000 0.9539 (multiplicity 4)



Material: HoTmFe
Method: DFT, PBE-GGA
State: optimized geometry

Results
The uncorrected energy is -5.83 eV per atom. As for the formation energy: 0.009 eV/atom. Its size of the total moment is 0.00 μB/cell.

Unit cell a=3.2939 b=3.2939 c=12.6288 alpha=90.00 beta=90.00 gamma=90.00
Space group I4mm (No. 107)
Unique sites:
Ho 0.0000 0.0000 0.0000 (multiplicity 2)
Tm 0.0000 0.0000 0.7478 (multiplicity 2)
Fe 0.0000 0.0000 0.3725 (multiplicity 2)